(1)
This record from Alexandria describes a relaxed structure of NdDyHo6Tm2. The functional is PBE.

Geometry as POSCAR:
```
NdDyHo6Tm2
1.0
4.552 -7.457 0.000
4.552 7.457 0.000
-1.001 0.000 9.356
Nd Dy Ho Tm
2 2 12 4
Direct
0.030 0.970 0.750
0.970 0.030 0.250
0.410 0.590 0.250
0.590 0.410 0.750
0.015 0.562 0.681
0.121 0.755 0.057
0.245 0.879 0.443
0.292 0.514 0.884
0.438 0.985 0.819
0.486 0.708 0.616
0.514 0.292 0.384
0.562 0.015 0.181
0.708 0.486 0.116
0.755 0.121 0.557
0.879 0.245 0.943
0.985 0.438 0.319
0.200 0.305 0.549
0.305 0.200 0.049
0.695 0.800 0.951
0.800 0.695 0.451
```

Values from the calculation:
- uncorrected energy (eV/f.u.) = -44.6
- V (Å³/atom) = 31.76
- symmetry = C2/c (15)

***

(2)
This record from Alexandria describes a relaxed structure of Y4AlAg3. The functional is PBE.

Geometry as POSCAR:
```
Y4AlAg3
1.0
3.697 0.000 0.000
0.000 4.742 0.000
0.000 0.000 11.366
Y Al Ag
4 1 3
Direct
0.000 0.000 0.000
0.000 0.500 0.290
0.500 0.000 0.496
0.500 0.500 0.797
0.000 0.000 0.722
0.000 0.500 0.573
0.500 0.000 0.225
0.500 0.500 0.070
```

Values from the calculation:
- V (Å³/atom) = 24.91
- symmetry = Pmm2 (25)
- energy above the lowest structure with this stoichiometry (eV/atom) = 0.041

***

(3)
This record from Alexandria describes a relaxed structure of InGeS2. The functional is PBE.

Geometry as POSCAR:
```
InGeS2
1.0
-3.111 3.111 6.149
3.111 -3.111 6.149
3.111 3.111 -6.149
In Ge S
2 2 4
Direct
0.000 0.000 0.000
0.750 0.250 0.500
0.250 0.750 0.500
0.500 0.500 0.000
0.130 0.625 0.005
0.375 0.380 0.505
0.620 0.125 0.995
0.875 0.870 0.495
```

Values from the calculation:
- V (Å³/atom) = 29.76
- formation energy without anion corrections (eV/atom) = -0.06
- symmetry = I-42d (122)

***

(4)
This record from Alexandria describes a relaxed structure of KH2Pt. The functional is PBE.

Geometry as POSCAR:
```
KH2Pt
1.0
1.658 0.957 5.505
-1.658 0.957 5.505
0.000 -1.914 5.505
K H Pt
1 2 1
Direct
0.000 0.000 0.000
0.201 0.201 0.201
0.799 0.799 0.799
0.500 0.500 0.500
```

Values from the calculation:
- V (Å³/atom) = 13.11
- symmetry = R-3m (166)
- energy above the lowest structure with this stoichiometry (eV/atom) = 0.426

***

no.,Fermi-level density of states (states/eV/f.u.)
1,15.02
2,8.14
3,2.37
4,1.29